A:
This record from the Alexandria database describes a geometry-optimized V4ReTc2 structure. The functional is GGA-PBE.

Cell: 5.9762 5.9762 5.9867 Å, 90.00 90.00 90.00°
Closest atoms and distances in Å follow each position.
Space group I4/mmm (No. 139)
Unique sites:
V: 0.2500 0.2500 0.2500  2 Re 2.59, 4 Tc 2.59
Re: 0.0000 0.0000 0.0000  8 V 2.59
Tc: 0.0000 0.5000 0.0000  8 V 2.59

Results
Total magnetization ... 0.00 μB per formula unit



B:
This record from the Alexandria database describes a geometry-optimized V4ReTc2 structure. The functional is GGA-PBE.

Cell: 4.5275 4.5275 12.2575 Å, 90.00 90.00 90.00°
Closest atoms and distances in Å follow each position.
Space group I4/mmm (No. 139)
Unique sites:
V: 0.0000 0.0000 0.1991  1 Tc 2.24, 1 Re 2.44
V: 0.0000 0.5000 0.0000  2 Re 2.26
Re: 0.0000 0.0000 0.0000  6 V 2.26-2.44
Tc: 0.0000 0.0000 0.3815  1 V 2.24

Results
Total magnetization ... 2.53 μB per formula unit



Compare the structures above. Which one is the least stable? B is.